Record 1
VASP calculation (GGA-PBE) on an optimized crystal structure of Tb15SmIn4.

Summary:
crystal system = tetragonal
formation energy = -0.20 eV per atom

Cell: 4.8729 4.8729 24.8161 Å, 90.00 90.00 90.00°
Fractional positions:
Tb: 0.5000 0.5000 0.0000
Tb: 0.5000 0.5000 0.2056
Tb: 0.5000 0.5000 0.4020
Tb: 0.5000 0.5000 0.5980
Tb: 0.5000 0.5000 0.7944
Tb: 0.5000 0.0000 0.1060
Tb: 0.5000 0.0000 0.3034
Tb: 0.5000 0.0000 0.5000
Tb: 0.5000 0.0000 0.6966
Tb: 0.5000 0.0000 0.8940
Tb: 0.0000 0.5000 0.1060
Tb: 0.0000 0.5000 0.3034
Tb: 0.0000 0.5000 0.5000
Tb: 0.0000 0.5000 0.6966
Tb: 0.0000 0.5000 0.8940
Sm: 0.0000 0.0000 0.0000
In: 0.0000 0.0000 0.2065
In: 0.0000 0.0000 0.4020
In: 0.0000 0.0000 0.5980
In: 0.0000 0.0000 0.7935

Record 2
VASP calculation (GGA-PBE) on an optimized crystal structure of ScZn2Pd2.

Summary:
crystal system = tetragonal
energy relative to the lowest polymorph listed for this composition = 187 meV per atom
formation energy = -0.44 eV per atom

Cell: 4.0039 4.0039 6.0844 Å, 70.79 70.79 90.00°
Fractional positions:
Sc: 0.0000 0.0000 0.0000
Zn: 0.3910 0.3910 0.2179
Zn: 0.6090 0.6090 0.7821
Pd: 0.7500 0.2500 0.5000
Pd: 0.2500 0.7500 0.5000

Record 3
VASP calculation (GGA-PBE) on an optimized crystal structure of GaAgPd2.

Summary:
crystal system = tetragonal
formation energy = -0.17 eV per atom

Cell: 7.0947 7.0947 5.7116 Å, 51.61 51.61 90.00°
Fractional positions:
Ga: 0.5000 0.5000 0.0000
Ga: 0.2500 0.7500 0.5000
Pd: 0.5905 0.1250 0.2500
Pd: 0.1595 0.6250 0.2500
Pd: 0.3750 0.4095 0.7500
Pd: 0.8750 0.8405 0.7500
Ag: 0.0000 0.0000 0.0000
Ag: 0.7500 0.2500 0.5000

Record 4
VASP calculation (GGA-PBE) on an optimized crystal structure of PmTm2Tl.

Summary:
crystal system = tetragonal
energy relative to the lowest polymorph listed for this composition = 0 meV per atom
formation energy = -0.17 eV per atom

Cell: 4.8093 4.8744 4.8744 Å, 90.00 90.00 90.00°
Site moments in Bohr magnetons follow the coordinates.
Fractional positions:
Tl: 0.5000 0.5000 0.5000  -0.01
Tm: 0.0000 0.0000 0.5000  0.18
Tm: 0.0000 0.5000 0.0000  0.18
Pm: 0.5000 0.0000 0.0000  0.14

Record 5
VASP calculation (GGA-PBE) on an optimized crystal structure of Pm5InCo2.

Summary:
crystal system = tetragonal
formation energy = -0.18 eV per atom

Cell: 7.8147 7.8147 8.8484 Å, 116.21 116.21 90.00°
Fractional positions:
Pm: 0.5310 0.7068 0.7378
Pm: 0.7932 0.9690 0.2622
Pm: 0.0000 0.0000 0.0000
Pm: 0.5000 0.5000 0.0000
Pm: 0.2068 0.0310 0.7378
Pm: 0.7068 0.2068 0.7378
Pm: 0.0310 0.5310 0.7378
Pm: 0.2932 0.7932 0.2622
Pm: 0.9690 0.4690 0.2622
Pm: 0.4690 0.2932 0.2622
In: 0.7500 0.7500 0.5000
In: 0.2500 0.2500 0.5000
Co: 0.1317 0.3683 0.0000
Co: 0.6317 0.1317 0.0000
Co: 0.3683 0.8683 0.0000
Co: 0.8683 0.6317 0.0000

Record 6
VASP calculation (GGA-PBE) on an optimized crystal structure of SrLaDy2Se4.

Summary:
crystal system = monoclinic
total energy = -0.411 Ry per atom

Cell: 4.1799 7.3334 7.3014 Å, 70.99 90.00 90.00°
Fractional positions:
Sr: 0.0000 0.5000 0.5000
La: 0.5000 0.5000 0.0000
Dy: 0.0000 0.0000 0.0000
Dy: 0.5000 0.0000 0.5000
Se: 0.0000 0.7684 0.7433
Se: 0.0000 0.2316 0.2567
Se: 0.5000 0.7689 0.2434
Se: 0.5000 0.2311 0.7566

Let's list M_tot in order: 0.04 0.00 0.00 0.64 0.00 0.00 μB/f.u..